1:
! PdSe2NF (PBE, optimized geometry); values from VASP
! - Spin magnetization: 2.77 μB/cell
! - ρ: 4.96 g/cm3
! - SG: P4/mmm (123)
! - Fermi-level density of states: 1.184 states/eV/atom
&SYSTEM
  ibrav = 0, nat = 5, ntyp = 4
/
ATOMIC_SPECIES
N 14.01 N.upf
Pd 106.42 Pd.upf
Se 78.96 Se.upf
F 19.00 F.upf
CELL_PARAMETERS angstrom
-2.594 -3.250 3.153
3.998 0.062 3.353
-1.489 2.860 1.723
ATOMIC_POSITIONS angstrom
N -0.745 1.430 0.861
Pd 0.000 0.000 0.000
Se 1.999 0.031 1.676
Se -1.297 -1.625 1.576
F -0.043 -0.164 4.114

---

2:
! PdSe2NF (PBE, optimized geometry); values from VASP
! - Spin magnetization: 2.39 μB/cell
! - ρ: 5.92 g/cm3
! - SG: P4/mmm (123)
! - Fermi-level density of states: 0.631 states/eV/atom
&SYSTEM
  ibrav = 0, nat = 5, ntyp = 4
/
ATOMIC_SPECIES
Se 78.96 Se.upf
F 19.00 F.upf
Pd 106.42 Pd.upf
N 14.01 N.upf
CELL_PARAMETERS angstrom
4.604 0.000 0.000
0.000 4.604 0.000
0.000 0.000 3.934
ATOMIC_POSITIONS angstrom
Se 2.302 0.000 0.000
Se 0.000 2.302 0.000
F 0.000 0.000 0.000
Pd 2.302 2.302 1.967
N 0.000 0.000 1.967

---

Preferred: 1; penalty for the next structure: 46.3 kJ/mol of atoms.